Below is a geometry-optimized Tb2PmSm4Tm2 structure, with properties calculated at the PBE level.

a b c (Å): 8.018 8.018 8.013
angles (deg): 107.46 107.46 36.79
Positions (direct):
Tb 0.111 0.111 0.168
Tb 0.889 0.889 0.832
Pm 0.000 0.000 0.500
Sm 0.223 0.223 0.831
Sm 0.445 0.445 0.168
Sm 0.555 0.555 0.832
Sm 0.777 0.777 0.169
Tm 0.332 0.332 0.500
Tm 0.668 0.668 0.500

Summary:
formation energy from the elements = 19 meV per atom
density of states at the Fermi level = 12.908 states/eV per cell
energy = -4.629 eV/atom
ρ = 7.956 g/cm3